# 1
Computed, not measured: crystalline ZnCd2Ga2 at its relaxed geometry at the PBE level of DFT.

Cell lengths 8.011, 8.011, 3.407 Å; angles 90.00, 90.00, 90.00 degrees
Sites, in units of the cell vectors:
1 Zn 0.000 0.000 0.000
2 Zn 0.500 0.500 0.000
3 Cd 0.179 0.321 0.000
4 Cd 0.321 0.821 0.000
5 Cd 0.821 0.679 0.000
6 Cd 0.679 0.179 0.000
7 Ga 0.879 0.379 0.500
8 Ga 0.379 0.121 0.500
9 Ga 0.121 0.621 0.500
10 Ga 0.621 0.879 0.500

## Properties
- Raw total energy: -1.66 eV per atom
- E_form: 16.35 kJ per mole of atoms
- Crystal system: tetragonal
- Excess energy over the best structure of this formula in the dataset: 125 meV/atom

# 2
Computed, not measured: crystalline NdTaO4 at its relaxed geometry at the PBE level of DFT.

Cell lengths 6.102, 6.102, 6.102 Å; angles 105.37, 114.43, 108.74 degrees
Sites, in units of the cell vectors:
1 O 0.268 0.690 0.421
2 O 0.799 0.773 0.525
3 O 0.201 0.227 0.475
4 O 0.752 0.227 0.025
5 O 0.732 0.653 0.921
6 O 0.732 0.310 0.579
7 O 0.268 0.347 0.079
8 O 0.248 0.773 0.975
9 Nd 0.719 0.969 0.250
10 Nd 0.281 0.031 0.750
11 Ta 0.000 0.500 0.000
12 Ta 0.500 0.500 0.500

## Properties
- Raw total energy: -9.07 eV per atom
- Crystal system: orthorhombic

# 3
Computed, not measured: crystalline La2OsBr at its relaxed geometry at the PBE level of DFT.

Cell lengths 7.763, 5.448, 3.485 Å; angles 81.55, 75.96, 129.41 degrees
Sites, in units of the cell vectors:
1 La 0.500 0.000 0.500
2 La 0.000 0.000 0.000
3 Os 0.000 0.500 0.500
4 Br 0.500 0.500 0.000

## Properties
- Raw total energy: -6.13 eV per atom
- Crystal system: monoclinic
- Excess energy over the best structure of this formula in the dataset: 369 meV/atom

# 4
Computed, not measured: crystalline RbPd at its relaxed geometry at the PBE level of DFT.

Cell lengths 12.173, 12.173, 4.149 Å; angles 90.00, 90.00, 90.00 degrees
Sites, in units of the cell vectors:
1 Rb 0.607 0.280 0.500
2 Rb 0.393 0.720 0.500
3 Rb 0.107 0.780 0.000
4 Rb 0.220 0.107 0.000
5 Rb 0.280 0.393 0.500
6 Rb 0.780 0.893 0.000
7 Rb 0.720 0.607 0.500
8 Rb 0.893 0.220 0.000
9 Pd 0.922 0.577 0.000
10 Pd 0.578 0.923 0.500
11 Pd 0.923 0.422 0.500
12 Pd 0.577 0.078 0.000
13 Pd 0.423 0.922 0.000
14 Pd 0.077 0.578 0.500
15 Pd 0.078 0.423 0.000
16 Pd 0.422 0.077 0.500

## Properties
- Raw total energy: -2.86 eV per atom
- E_form: 20.91 kJ per mole of atoms
- Crystal system: tetragonal

# 5
Computed, not measured: crystalline TlRuSN2 at its relaxed geometry at the PBE level of DFT.

Cell lengths 4.166, 4.166, 5.688 Å; angles 90.00, 90.00, 90.00 degrees
Last column: magnetic moment on the atom in μB.
Sites, in units of the cell vectors:
1 N 0.500 0.000 0.000  0.93
2 N 0.000 0.500 0.000  0.93
3 S 0.000 0.000 0.500  0.23
4 Ru 0.500 0.500 0.500  2.85
5 Tl 0.000 0.000 0.000  0.00

## Properties
- Raw total energy: -4.11 eV per atom
- Crystal system: tetragonal
- Excess energy over the best structure of this formula in the dataset: 1693 meV/atom

# 6
Computed, not measured: crystalline CrCu2 at its relaxed geometry at the PBE level of DFT.

Cell lengths 12.564, 12.564, 12.564 Å; angles 168.96, 168.96, 15.63 degrees
Sites, in units of the cell vectors:
1 Cr 0.750 0.250 0.500
2 Cr 0.000 0.000 0.000
3 Cu 0.331 0.831 0.500
4 Cu 0.169 0.669 0.500
5 Cu 0.581 0.581 0.000
6 Cu 0.419 0.419 0.000

## Properties
- Raw total energy: -5.64 eV per atom
- E_form: 28.82 kJ per mole of atoms
- Crystal system: tetragonal

# 7
Computed, not measured: crystalline SiNiS at its relaxed geometry at the PBE level of DFT.

Cell lengths 5.865, 4.045, 4.051 Å; angles 90.00, 110.06, 90.00 degrees
Sites, in units of the cell vectors:
1 Ni 0.916 0.500 0.232
2 Ni 0.916 0.000 0.732
3 Si 0.722 0.000 0.135
4 Si 0.722 0.500 0.635
5 S 0.329 0.500 0.447
6 S 0.329 0.000 0.947

## Properties
- Raw total energy: -5.21 eV per atom
- Crystal system: monoclinic

# 8
Computed, not measured: crystalline HgPOs2 at its relaxed geometry at the PBE level of DFT.

Cell lengths 7.557, 7.557, 7.557 Å; angles 157.68, 156.27, 32.80 degrees
Sites, in units of the cell vectors:
1 Hg 0.808 0.308 0.500
2 Os 0.979 0.979 0.000
3 Os 0.164 0.664 0.500
4 P 0.549 0.549 0.000

## Properties
- Raw total energy: -6.68 eV per atom
- E_form: 35.28 kJ per mole of atoms
- Crystal system: orthorhombic
- Excess energy over the best structure of this formula in the dataset: 74 meV/atom

# 9
Computed, not measured: crystalline KFe2Hg at its relaxed geometry at the PBE level of DFT.

Cell lengths 4.214, 4.214, 4.653 Å; angles 90.00, 90.00, 90.00 degrees
Last column: magnetic moment on the atom in μB.
Sites, in units of the cell vectors:
1 Fe 0.500 0.500 0.000  2.88
2 Fe 0.000 0.000 0.000  2.88
3 K 0.000 0.500 0.500  -0.02
4 Hg 0.500 0.000 0.500  -0.04

## Properties
- Raw total energy: -3.51 eV per atom
- E_form: 103.55 kJ per mole of atoms
- Crystal system: tetragonal

# 10
Computed, not measured: crystalline TbPm2Nd6 at its relaxed geometry at the PBE level of DFT.

Cell lengths 6.283, 10.259, 10.259 Å; angles 70.89, 84.94, 84.94 degrees
Sites, in units of the cell vectors:
1 Pm 0.581 0.433 0.233
2 Pm 0.919 0.767 0.567
3 Pm 0.419 0.567 0.767
4 Pm 0.081 0.233 0.433
5 Nd 0.349 0.926 0.649
6 Nd 0.514 0.312 0.592
7 Nd 0.849 0.649 0.926
8 Nd 0.820 0.023 0.743
9 Nd 0.180 0.977 0.257
10 Nd 0.320 0.743 0.023
11 Nd 0.151 0.351 0.074
12 Nd 0.680 0.257 0.977
13 Nd 0.014 0.592 0.312
14 Nd 0.486 0.688 0.408
15 Nd 0.651 0.074 0.351
16 Nd 0.986 0.408 0.688
17 Tb 0.250 0.099 0.901
18 Tb 0.750 0.901 0.099

## Properties
- Raw total energy: -4.67 eV per atom
- E_form: 7.68 kJ per mole of atoms
- Crystal system: monoclinic
- Excess energy over the best structure of this formula in the dataset: 0 meV/atom

# 11
Computed, not measured: crystalline Sc5Fe at its relaxed geometry at the PBE level of DFT.

Cell lengths 3.248, 5.794, 7.692 Å; angles 69.01, 90.00, 106.27 degrees
Sites, in units of the cell vectors:
1 Sc 0.396 0.792 0.814
2 Sc 0.364 0.728 0.227
3 Sc 0.028 0.056 0.444
4 Sc 0.692 0.383 0.662
5 Sc 0.660 0.319 0.075
6 Fe 0.028 0.056 0.944

## Properties
- Raw total energy: -6.73 eV per atom
- E_form: -3.75 kJ per mole of atoms
- Crystal system: monoclinic
- Excess energy over the best structure of this formula in the dataset: 0 meV/atom

# 12
Computed, not measured: crystalline TlSbSe2 at its relaxed geometry at the PBE level of DFT.

Cell lengths 7.980, 7.980, 7.980 Å; angles 30.30, 30.30, 30.30 degrees
Sites, in units of the cell vectors:
1 Se 0.011 0.011 0.011
2 Se 0.240 0.240 0.240
3 Sb 0.740 0.740 0.740
4 Tl 0.510 0.510 0.510

## Properties
- Raw total energy: -3.49 eV per atom
- Crystal system: trigonal

# 13
Computed, not measured: crystalline Ca2Zn16Ag at its relaxed geometry at the PBE level of DFT.

Cell lengths 6.868, 6.868, 6.868 Å; angles 83.06, 83.06, 83.06 degrees
Sites, in units of the cell vectors:
1 Ag 0.901 0.901 0.901
2 Zn 0.496 0.001 0.001
3 Zn 0.159 0.649 0.649
4 Zn 0.999 0.703 0.296
5 Zn 0.350 0.350 0.840
6 Zn 0.296 0.703 0.999
7 Zn 0.649 0.159 0.649
8 Zn 0.296 0.999 0.703
9 Zn 0.001 0.001 0.496
10 Zn 0.107 0.107 0.107
11 Zn 0.840 0.350 0.350
12 Zn 0.350 0.840 0.350
13 Zn 0.001 0.496 0.001
14 Zn 0.703 0.296 0.999
15 Zn 0.999 0.296 0.703
16 Zn 0.649 0.649 0.159
17 Zn 0.703 0.999 0.296
18 Ca 0.660 0.660 0.660
19 Ca 0.340 0.340 0.340

## Properties
- Raw total energy: -1.61 eV per atom
- E_form: -17.23 kJ per mole of atoms
- Crystal system: trigonal

# 14
Computed, not measured: crystalline AcGa6Au12 at its relaxed geometry at the PBE level of DFT.

Cell lengths 7.556, 7.556, 7.556 Å; angles 105.06, 105.06, 105.06 degrees
Sites, in units of the cell vectors:
1 Au 0.858 0.610 0.610
2 Au 0.390 0.390 0.142
3 Au 0.390 0.142 0.390
4 Au 0.500 0.119 0.881
5 Au 0.610 0.610 0.858
6 Au 0.500 0.881 0.119
7 Au 0.881 0.500 0.119
8 Au 0.119 0.500 0.881
9 Au 0.610 0.858 0.610
10 Au 0.881 0.119 0.500
11 Au 0.119 0.881 0.500
12 Au 0.142 0.390 0.390
13 Ga 0.727 0.727 0.305
14 Ga 0.727 0.305 0.727
15 Ga 0.695 0.273 0.273
16 Ga 0.273 0.273 0.695
17 Ga 0.273 0.695 0.273
18 Ga 0.305 0.727 0.727
19 Ac 0.000 0.000 0.000

## Properties
- Raw total energy: -3.49 eV per atom
- E_form: -23.51 kJ per mole of atoms
- Crystal system: trigonal

# 15
Computed, not measured: crystalline BeGe3As at its relaxed geometry at the PBE level of DFT.

Cell lengths 4.523, 4.523, 4.523 Å; angles 90.00, 90.00, 90.00 degrees
Sites, in units of the cell vectors:
1 Ge 0.000 0.000 0.500
2 Ge 0.000 0.500 0.000
3 Ge 0.500 0.000 0.000
4 Be 0.000 0.000 0.000
5 As 0.500 0.500 0.500

## Properties
- Raw total energy: -3.99 eV per atom
- E_form: 43.87 kJ per mole of atoms
- Crystal system: cubic
- Excess energy over the best structure of this formula in the dataset: 0 meV/atom

# 16
Computed, not measured: crystalline CaMnB12 at its relaxed geometry at the PBE level of DFT.

Cell lengths 4.128, 4.128, 8.246 Å; angles 90.00, 90.00, 90.00 degrees
Last column: magnetic moment on the atom in μB.
Sites, in units of the cell vectors:
1 B 0.799 0.500 0.752  0.01
2 B 0.201 0.500 0.248  0.01
3 B 0.500 0.500 0.399  0.01
4 B 0.500 0.201 0.248  0.01
5 B 0.500 0.500 0.601  0.01
6 B 0.500 0.201 0.752  0.01
7 B 0.500 0.799 0.752  0.01
8 B 0.799 0.500 0.248  0.01
9 B 0.500 0.500 0.099  0.02
10 B 0.500 0.500 0.901  0.02
11 B 0.500 0.799 0.248  0.01
12 B 0.201 0.500 0.752  0.01
13 Ca 0.000 0.000 0.500  0.00
14 Mn 0.000 0.000 0.000  4.38

## Properties
- Raw total energy: -6.59 eV per atom
- E_form: -6.15 kJ per mole of atoms
- Crystal system: tetragonal

# 17
Computed, not measured: crystalline AcLa2Pm5Y at its relaxed geometry at the PBE level of DFT.

Cell lengths 5.576, 11.579, 10.557 Å; angles 90.00, 90.00, 103.93 degrees
Sites, in units of the cell vectors:
1 Pm 0.279 0.559 0.704
2 Pm 0.721 0.443 0.814
3 Pm 0.383 0.765 0.008
4 Pm 0.003 0.006 0.508
5 Pm 0.721 0.441 0.204
6 Pm 0.279 0.557 0.314
7 Pm 0.500 0.000 0.258
8 Pm 0.617 0.235 0.508
9 Pm 0.997 0.994 0.008
10 Pm 0.500 0.000 0.758
11 La 0.118 0.236 0.273
12 La 0.882 0.764 0.773
13 La 0.881 0.763 0.243
14 La 0.119 0.237 0.743
15 Ac 0.401 0.801 0.508
16 Ac 0.599 0.199 0.008
17 Y 0.222 0.443 0.009
18 Y 0.778 0.557 0.509

## Properties
- Raw total energy: -4.77 eV per atom
- E_form: 13.85 kJ per mole of atoms
- Crystal system: orthorhombic

# 18
Computed, not measured: crystalline ScOs3Pt at its relaxed geometry at the PBE level of DFT.

Cell lengths 4.748, 4.748, 4.748 Å; angles 90.00, 90.00, 90.00 degrees
Sites, in units of the cell vectors:
1 Os 0.000 0.500 0.000
2 Os 0.000 0.000 0.500
3 Os 0.500 0.000 0.000
4 Pt 0.000 0.000 0.000
5 Sc 0.500 0.500 0.500

## Properties
- Raw total energy: -7.28 eV per atom
- E_form: 186.46 kJ per mole of atoms
- Crystal system: cubic
- Excess energy over the best structure of this formula in the dataset: 0 meV/atom

# 19
Computed, not measured: crystalline SrIn2CuP at its relaxed geometry at the PBE level of DFT.

Cell lengths 6.393, 6.393, 5.350 Å; angles 90.00, 90.00, 90.00 degrees
Sites, in units of the cell vectors:
1 Cu 0.500 0.500 0.500
2 P 0.000 0.000 0.500
3 Sr 0.000 0.000 0.000
4 In 0.500 0.000 0.000
5 In 0.000 0.500 0.000

## Properties
- Raw total energy: -2.22 eV per atom
- E_form: 107.01 kJ per mole of atoms
- Crystal system: tetragonal

# 20
Computed, not measured: crystalline Ni5Ag at its relaxed geometry at the PBE level of DFT.

Cell lengths 4.965, 4.965, 6.065 Å; angles 74.25, 74.25, 30.48 degrees
Last column: magnetic moment on the atom in μB.
Sites, in units of the cell vectors:
1 Ni 0.624 0.624 0.282  0.67
2 Ni 0.273 0.273 0.928  0.63
3 Ni 0.669 0.669 0.660  0.69
4 Ni 0.948 0.948 0.595  0.69
5 Ni 0.325 0.325 0.358  0.68
6 Ag 0.993 0.993 0.010  0.00

## Properties
- Raw total energy: -5.10 eV per atom
- E_form: 18.24 kJ per mole of atoms
- Crystal system: monoclinic

Number 1: total magnetization 0.000 μB/f.u., Fermi-level density of states 3.82 states/eV per cell. Number 2: total magnetization 0.000 μB/f.u., Fermi-level density of states 0.00 states/eV per cell. Number 3: total magnetization 0.000 μB/f.u., Fermi-level density of states 3.43 states/eV per cell. Number 4: total magnetization 0.000 μB/f.u., Fermi-level density of states 9.43 states/eV per cell. Number 5: total magnetization 6.058 μB/f.u., Fermi-level density of states 5.31 states/eV per cell. Number 6: total magnetization 0.000 μB/f.u., Fermi-level density of states 3.55 states/eV per cell. Number 7: total magnetization 0.000 μB/f.u., Fermi-level density of states 2.75 states/eV per cell. Number 8: total magnetization 0.000 μB/f.u., Fermi-level density of states 2.01 states/eV per cell. Number 9: total magnetization 5.627 μB/f.u., Fermi-level density of states 5.29 states/eV per cell. Number 10: total magnetization 0.000 μB/f.u., Fermi-level density of states 25.03 states/eV per cell. Number 11: total magnetization 0.000 μB/f.u., Fermi-level density of states 7.43 states/eV per cell. Number 12: total magnetization 0.000 μB/f.u., Fermi-level density of states 0.27 states/eV per cell. Number 13: total magnetization 0.000 μB/f.u., Fermi-level density of states 5.66 states/eV per cell. Number 14: total magnetization 0.000 μB/f.u., Fermi-level density of states 5.04 states/eV per cell. Number 15: total magnetization 0.000 μB/f.u., Fermi-level density of states 2.07 states/eV per cell. Number 16: total magnetization 4.816 μB/f.u., Fermi-level density of states 1.29 states/eV per cell. Number 17: total magnetization 0.000 μB/f.u., Fermi-level density of states 31.06 states/eV per cell. Number 18: total magnetization 0.000 μB/f.u., Fermi-level density of states 8.52 states/eV per cell. Number 19: total magnetization 0.000 μB/f.u., Fermi-level density of states 7.03 states/eV per cell. Number 20: total magnetization 3.206 μB/f.u., Fermi-level density of states 12.09 states/eV per cell.